[1]
Compound: Be2MoPt
Source: Alexandria
Functional: PBE-GGA
Structure: relaxed

Structure (POSCAR):
```
Be2MoPt
1.0
-3.078 3.078 2.700
3.078 -3.078 2.700
3.078 3.078 -2.700
Be Mo Pt
4 2 2
Cartesian
1.539 1.435 -0.675
1.642 -1.539 3.375
1.539 1.642 2.025
1.435 4.616 0.675
3.078 0.000 1.350
0.000 0.000 2.700
0.000 0.000 0.000
0.000 3.078 1.350
```

ΔH_f (0 K)	0.124	eV/atom
N(E_F)	0.325	states/eV/atom

[2]
Compound: BeMo2Pt
Source: Alexandria
Functional: PBE-GGA
Structure: relaxed

Structure (POSCAR):
```
BeMo2Pt
1.0
4.408 -1.337 0.000
4.408 1.337 0.000
-0.521 0.000 4.918
Be Mo Pt
1 2 1
Cartesian
0.000 0.000 0.000
4.264 0.000 2.416
6.495 0.000 1.207
1.854 0.000 3.824
```

ΔH_f (0 K)	-0.025	eV/atom
N(E_F)	0.524	states/eV/atom

[3]
Compound: Be2MoPt
Source: Alexandria
Functional: PBE-GGA
Structure: relaxed

Structure (POSCAR):
```
Be2MoPt
1.0
2.773 0.000 0.000
0.000 2.773 0.000
0.000 0.000 6.162
Be Mo Pt
2 1 1
Cartesian
0.000 0.000 1.398
0.000 0.000 4.765
1.386 1.386 3.081
1.386 1.386 0.000
```

ΔH_f (0 K)	-0.347	eV/atom
N(E_F)	0.447	states/eV/atom